No. 1
{
  "formula": "TeO3",
  "functional": "GGA-PBEsol",
  "state": "relaxed",
  "formation_energy_uncorrected_ev_per_atom": -0.86,
  "m_tot_mub_per_cell": 0.00,
  "cell": [[4.965, 0.000, 0.000], [2.483, 4.300, 0.000], [2.483, 1.433, 4.378]],
  "species": ["O", "Te", "O", "O", "O", "O", "O", "Te"],
  "frac_coords": [[0.891, 0.250, 0.250], [0.500, 0.500, 0.500], [0.109, 0.750, 0.750], [0.750, 0.391, 0.750], [0.391, 0.109, 0.750], [0.250, 0.609, 0.250], [0.609, 0.891, 0.250], [0.000, 0.000, 0.000]]
}

---

No. 2
{
  "formula": "TeO2",
  "functional": "GGA-PBEsol",
  "state": "relaxed",
  "formation_energy_uncorrected_ev_per_atom": -1.05,
  "m_tot_mub_per_cell": 0.00,
  "cell": [[5.254, 0.000, 0.000], [0.000, 5.380, 0.000], [0.000, 0.000, 13.181]],
  "species": ["O", "Te", "O", "O", "O", "O", "Te", "O", "Te", "O", "Te", "O", "O", "O", "O", "Te", "O", "O", "Te", "O", "O", "O", "Te", "Te"],
  "frac_coords": [[0.013, 0.675, 0.785], [0.685, 0.082, 0.629], [0.640, 0.831, 0.453], [0.140, 0.169, 0.047], [0.513, 0.825, 0.785], [0.487, 0.175, 0.215], [0.315, 0.918, 0.371], [0.640, 0.331, 0.047], [0.185, 0.918, 0.871], [0.360, 0.169, 0.547], [0.815, 0.582, 0.371], [0.987, 0.825, 0.285], [0.013, 0.175, 0.715], [0.487, 0.675, 0.285], [0.513, 0.325, 0.715], [0.315, 0.418, 0.129], [0.987, 0.325, 0.215], [0.860, 0.831, 0.953], [0.185, 0.418, 0.629], [0.360, 0.669, 0.953], [0.140, 0.669, 0.453], [0.860, 0.331, 0.547], [0.685, 0.582, 0.871], [0.815, 0.082, 0.129]]
}

---

No. 3
{
  "formula": "TeO2",
  "functional": "GGA-PBEsol",
  "state": "relaxed",
  "formation_energy_uncorrected_ev_per_atom": -0.98,
  "m_tot_mub_per_cell": 0.00,
  "cell": [[3.843, 0.000, 0.000], [0.000, 5.364, 0.000], [0.000, 0.000, 8.102]],
  "species": ["O", "O", "O", "Te", "O", "O", "Te", "Te", "Te", "O", "O", "O"],
  "frac_coords": [[0.750, 0.429, 0.873], [0.750, 0.379, 0.505], [0.250, 0.571, 0.127], [0.750, 0.248, 0.072], [0.250, 0.121, 0.005], [0.750, 0.929, 0.627], [0.750, 0.748, 0.428], [0.250, 0.252, 0.572], [0.250, 0.752, 0.928], [0.750, 0.879, 0.995], [0.250, 0.621, 0.495], [0.250, 0.071, 0.373]]
}

---

No. 4
{
  "formula": "TeO2",
  "functional": "GGA-PBEsol",
  "state": "relaxed",
  "formation_energy_uncorrected_ev_per_atom": -1.03,
  "m_tot_mub_per_cell": 0.00,
  "cell": [[4.245, 0.000, 0.000], [0.000, 4.938, 0.000], [0.000, 0.000, 8.504]],
  "species": ["Te", "O", "Te", "O", "Te", "O", "O", "O", "O", "O", "O", "Te"],
  "frac_coords": [[0.355, 0.026, 0.101], [0.778, 0.142, 0.041], [0.645, 0.526, 0.399], [0.722, 0.858, 0.541], [0.145, 0.974, 0.601], [0.685, 0.727, 0.213], [0.222, 0.642, 0.459], [0.315, 0.227, 0.287], [0.185, 0.773, 0.787], [0.815, 0.273, 0.713], [0.278, 0.358, 0.959], [0.855, 0.474, 0.899]]
}

---

No. 5
{
  "formula": "TeO2",
  "functional": "GGA-PBEsol",
  "state": "relaxed",
  "formation_energy_uncorrected_ev_per_atom": -1.04,
  "m_tot_mub_per_cell": 0.00,
  "cell": [[4.817, 0.000, 0.000], [0.000, 4.817, 0.000], [0.000, 0.000, 7.444]],
  "species": ["O", "Te", "O", "O", "Te", "O", "O", "O", "O", "O", "Te", "Te"],
  "frac_coords": [[0.750, 0.642, 0.806], [0.518, 0.518, 0.000], [0.250, 0.358, 0.306], [0.142, 0.750, 0.556], [0.482, 0.482, 0.500], [0.358, 0.250, 0.694], [0.250, 0.858, 0.944], [0.858, 0.250, 0.056], [0.642, 0.750, 0.194], [0.750, 0.142, 0.444], [0.982, 0.018, 0.250], [0.018, 0.982, 0.750]]
}

---

No. 6
{
  "formula": "TeO3",
  "functional": "GGA-PBEsol",
  "state": "relaxed",
  "formation_energy_uncorrected_ev_per_atom": -0.85,
  "m_tot_mub_per_cell": 0.00,
  "cell": [[-0.810, 5.047, 0.944], [-1.832, 3.085, -3.757], [-4.957, 0.626, 1.756]],
  "species": ["Te", "O", "Te", "O", "O", "O", "O", "O"],
  "frac_coords": [[0.667, 0.667, 0.000], [0.692, 0.000, 0.781], [0.333, 0.333, 0.000], [0.308, 0.000, 0.219], [0.929, 0.621, 0.219], [0.549, 0.379, 0.219], [0.071, 0.379, 0.781], [0.451, 0.621, 0.781]]
}

---

No. 7
{
  "formula": "TeO2",
  "functional": "GGA-PBEsol",
  "state": "relaxed",
  "formation_energy_uncorrected_ev_per_atom": -1.03,
  "m_tot_mub_per_cell": 0.00,
  "cell": [[5.790, -0.028, 0.027], [-2.682, 6.449, 0.008], [-0.420, -2.384, 7.189]],
  "species": ["O", "Te", "O", "O", "O", "O", "O", "Te", "Te", "Te", "O", "O", "O", "O", "O", "Te", "O", "Te"],
  "frac_coords": [[0.397, 0.018, 0.641], [0.613, 0.866, 0.589], [0.526, 0.807, 0.836], [0.726, 0.418, 0.545], [0.274, 0.582, 0.455], [0.745, 0.487, 0.932], [0.921, 0.176, 0.731], [0.026, 0.520, 0.246], [0.974, 0.480, 0.754], [0.749, 0.817, 0.040], [0.255, 0.513, 0.068], [0.474, 0.193, 0.164], [0.079, 0.824, 0.269], [0.603, 0.982, 0.359], [0.983, 0.150, 0.119], [0.387, 0.134, 0.411], [0.017, 0.850, 0.881], [0.251, 0.183, 0.960]]
}

---

No. 8
{
  "formula": "TeO3",
  "functional": "GGA-PBEsol",
  "state": "relaxed",
  "formation_energy_uncorrected_ev_per_atom": -0.84,
  "m_tot_mub_per_cell": 0.00,
  "cell": [[4.853, 0.000, 0.000], [0.000, 5.171, 0.000], [0.000, 0.000, 8.376]],
  "species": ["Te", "O", "O", "O", "O", "O", "Te", "O", "O", "Te", "O", "O", "O", "Te", "O", "O"],
  "frac_coords": [[0.500, 0.250, 0.408], [0.214, 0.935, 0.074], [0.714, 0.065, 0.574], [0.750, 0.610, 0.750], [0.214, 0.435, 0.926], [0.286, 0.935, 0.426], [0.000, 0.250, 0.092], [0.714, 0.565, 0.426], [0.786, 0.565, 0.074], [0.500, 0.750, 0.592], [0.750, 0.110, 0.250], [0.286, 0.435, 0.574], [0.250, 0.890, 0.750], [0.000, 0.750, 0.908], [0.786, 0.065, 0.926], [0.250, 0.390, 0.250]]
}

---

No. 9
{
  "formula": "TeO3",
  "functional": "GGA-PBEsol",
  "state": "relaxed",
  "formation_energy_uncorrected_ev_per_atom": -0.84,
  "m_tot_mub_per_cell": 0.00,
  "cell": [[-2.131, 4.244, 1.671], [-1.017, -2.310, 4.571], [6.444, 2.228, 2.559]],
  "species": ["Te", "Te", "O", "O", "Te", "O", "O", "O", "O", "Te", "O", "O", "O", "O", "O", "O"],
  "frac_coords": [[0.000, 0.000, 0.000], [0.500, 0.500, 0.000], [0.872, 0.974, 0.750], [0.818, 0.688, 0.437], [0.000, 0.000, 0.500], [0.128, 0.026, 0.250], [0.628, 0.474, 0.750], [0.182, 0.312, 0.563], [0.682, 0.188, 0.437], [0.500, 0.500, 0.500], [0.182, 0.312, 0.937], [0.682, 0.188, 0.063], [0.318, 0.812, 0.563], [0.818, 0.688, 0.063], [0.318, 0.812, 0.937], [0.372, 0.526, 0.250]]
}

---

No. 10
{
  "formula": "ThTe2O6",
  "functional": "GGA-PBEsol",
  "state": "relaxed",
  "formation_energy_uncorrected_ev_per_atom": -2.00,
  "m_tot_mub_per_cell": 0.00,
  "cell": [[7.161, 0.032, 0.000], [-2.225, 6.940, 0.000], [0.000, 0.000, 11.228]],
  "species": ["O", "O", "Te", "O", "O", "Te", "Te", "O", "O", "O", "O", "Te", "O", "O", "Te", "O", "O", "O", "O", "O", "O", "Th", "O", "O", "O", "O", "Te", "O", "Te", "Th", "O", "Th", "Te", "Th", "O", "O"],
  "frac_coords": [[0.857, 0.820, 0.248], [0.911, 0.920, 0.902], [0.245, 0.449, 0.726], [0.183, 0.618, 0.220], [0.357, 0.320, 0.252], [0.766, 0.028, 0.424], [0.266, 0.528, 0.076], [0.411, 0.420, 0.598], [0.143, 0.180, 0.752], [0.643, 0.680, 0.748], [0.320, 0.807, 0.472], [0.755, 0.551, 0.274], [0.817, 0.382, 0.780], [0.962, 0.832, 0.594], [0.234, 0.972, 0.576], [0.683, 0.118, 0.280], [0.680, 0.193, 0.528], [0.589, 0.580, 0.402], [0.927, 0.531, 0.400], [0.089, 0.080, 0.098], [0.073, 0.469, 0.600], [0.740, 0.993, 0.091], [0.180, 0.693, 0.972], [0.573, 0.969, 0.900], [0.462, 0.332, 0.906], [0.427, 0.031, 0.100], [0.255, 0.051, 0.226], [0.820, 0.307, 0.028], [0.734, 0.472, 0.924], [0.240, 0.493, 0.409], [0.038, 0.168, 0.406], [0.760, 0.507, 0.591], [0.745, 0.949, 0.774], [0.260, 0.007, 0.909], [0.538, 0.668, 0.094], [0.317, 0.882, 0.720]]
}

---

No. 11
{
  "formula": "TiTl2Te3O12",
  "functional": "GGA-PBEsol",
  "state": "relaxed",
  "formation_energy_uncorrected_ev_per_atom": -1.31,
  "m_tot_mub_per_cell": 0.00,
  "cell": [[7.162, -0.003, -0.001], [3.547, 6.221, -0.001], [3.551, 2.062, 5.871]],
  "species": ["Tl", "O", "O", "Ti", "Te", "O", "O", "O", "O", "O", "Tl", "O", "O", "O", "Te", "Te", "O", "O"],
  "frac_coords": [[0.819, 0.900, 0.365], [0.432, 0.827, 0.327], [0.826, 0.826, 0.930], [0.494, 0.506, 0.000], [0.499, 0.501, 0.500], [0.437, 0.819, 0.935], [0.572, 0.174, 0.675], [0.569, 0.180, 0.067], [0.181, 0.563, 0.065], [0.826, 0.428, 0.325], [0.100, 0.181, 0.635], [0.436, 0.431, 0.320], [0.569, 0.564, 0.680], [0.173, 0.568, 0.673], [0.999, 0.500, 0.999], [0.500, 0.001, 0.001], [0.820, 0.431, 0.933], [0.174, 0.174, 0.070]]
}

---

No. 12
{
  "formula": "Tl2TeO3",
  "functional": "GGA-PBEsol",
  "state": "relaxed",
  "formation_energy_uncorrected_ev_per_atom": -0.88,
  "m_tot_mub_per_cell": 0.00,
  "cell": [[-0.305, -4.507, 2.510], [9.455, 2.039, 4.811], [-7.908, 7.436, 12.390]],
  "species": ["O", "Tl", "Te", "O", "O", "Tl", "Te", "Tl", "Te", "O", "Tl", "Tl", "O", "O", "Tl", "O", "Tl", "O", "O", "O", "Te", "Tl", "O", "Tl", "O", "O", "Te", "Tl", "Te", "Tl", "Te", "Tl", "Tl", "Tl", "O", "O", "O", "Te", "O", "O", "O", "O", "Tl", "Tl", "O", "O", "O", "O"],
  "frac_coords": [[0.725, 0.197, 0.061], [0.762, 0.114, 0.245], [0.242, 0.131, 0.417], [0.275, 0.803, 0.061], [0.725, 0.803, 0.939], [0.238, 0.114, 0.755], [0.242, 0.631, 0.083], [0.238, 0.386, 0.255], [0.758, 0.631, 0.917], [0.693, 0.640, 0.804], [0.246, 0.628, 0.417], [0.754, 0.372, 0.417], [0.725, 0.697, 0.439], [0.275, 0.697, 0.561], [0.754, 0.628, 0.583], [0.127, 0.131, 0.588], [0.246, 0.128, 0.083], [0.127, 0.369, 0.088], [0.307, 0.360, 0.804], [0.127, 0.631, 0.912], [0.242, 0.369, 0.917], [0.238, 0.886, 0.245], [0.693, 0.860, 0.304], [0.754, 0.872, 0.083], [0.725, 0.303, 0.561], [0.873, 0.369, 0.912], [0.242, 0.869, 0.583], [0.754, 0.128, 0.917], [0.758, 0.131, 0.583], [0.762, 0.614, 0.255], [0.758, 0.369, 0.083], [0.238, 0.614, 0.745], [0.762, 0.886, 0.755], [0.246, 0.372, 0.583], [0.307, 0.140, 0.304], [0.693, 0.360, 0.196], [0.307, 0.860, 0.696], [0.758, 0.869, 0.417], [0.873, 0.631, 0.088], [0.873, 0.869, 0.588], [0.275, 0.303, 0.439], [0.873, 0.131, 0.412], [0.762, 0.386, 0.745], [0.246, 0.872, 0.917], [0.127, 0.869, 0.412], [0.693, 0.140, 0.696], [0.307, 0.640, 0.196], [0.275, 0.197, 0.939]]
}